[1]
Ba2Pd2Br PBE-GGA relaxed; calculated volume = 304.7 Å³/cell; relative energy among the computed polymorphs = 6.70 kcal/mol of atoms; uncorrected formation energy = -0.779 eV per atom; size of the total moment = 0.000 Bohr magnetons per cell
1.0
-8.364 1.841 -1.080
-1.311 -7.879 -3.275
-0.798 -1.425 3.748
Br Ba Pd
2 4 4
Cartesian
0.000 0.000 0.000
-4.838 -3.019 -2.178
-2.851 -5.773 -0.572
-7.202 -5.866 -1.533
-7.622 -1.690 -0.035
-3.271 -1.597 0.926
-4.440 -6.301 -3.341
-8.252 -3.156 -2.956
-5.235 0.263 -1.014
-1.423 -2.882 -1.399

***

[2]
Cd2IrW PBE-GGA relaxed; calculated formation energy = 397 kJ/mol of formula units; calculated volume = 154.9 Å³/cell; relative energy among the computed polymorphs = 21.95 kcal/mol of atoms; size of the total moment = 0.000 Bohr magnetons per cell
1.0
7.653 0.000 0.000
0.000 7.653 0.000
3.826 3.826 2.645
Ir W Cd
2 2 4
Cartesian
0.000 0.000 0.000
7.653 3.826 1.322
3.826 3.826 0.000
3.826 7.653 1.322
5.842 1.913 0.661
1.810 5.740 0.661
5.740 5.637 1.983
9.566 9.669 1.983

***

[3]
Tm2ScSb2 PBE-GGA relaxed; calculated volume = 259.1 Å³/cell; uncorrected formation energy = -0.802 eV per atom; size of the total moment = 0.001 Bohr magnetons per cell
1.0
4.830 0.000 0.000
0.000 6.212 0.000
-2.415 0.000 8.637
Tm Sc Sb
4 2 4
Cartesian
2.415 4.519 8.633
2.415 2.956 5.268
0.000 6.062 3.369
0.000 1.413 0.003
0.000 6.074 6.944
2.415 2.968 1.693
0.000 2.965 7.279
2.415 6.063 5.421
0.000 2.956 3.215
2.415 6.071 1.358

***

[4]
K4BeSe PBE-GGA relaxed; calculated volume = 249.9 Å³/cell; uncorrected formation energy = 0.456 eV per atom; size of the total moment = 0.000 Bohr magnetons per cell
1.0
3.659 -4.714 -3.790
2.651 -5.759 3.129
-2.775 -6.358 -1.364
K Be Se
4 1 1
Cartesian
3.136 -8.665 -2.632
-0.036 -9.476 -1.436
2.639 -9.180 0.780
1.332 -6.341 -0.763
0.000 0.000 0.000
2.652 -12.623 -1.519

***

[5]
LiP2Br PBE-GGA relaxed; calculated volume = 99.5 Å³/cell; relative energy among the computed polymorphs = 6.76 kcal/mol of atoms; uncorrected formation energy = -0.205 eV per atom; size of the total moment = 0.000 Bohr magnetons per cell
1.0
-0.695 -0.189 -4.297
4.311 0.044 -0.699
0.089 -5.226 0.216
Br Li P
1 1 2
Cartesian
1.830 -1.379 -2.444
1.875 -3.992 -2.336
0.083 -4.886 0.202
0.050 -2.953 0.122

***

[6]
Ta9Ni2S6 PBE-GGA relaxed; calculated volume = 306.2 Å³/cell; uncorrected formation energy = -0.748 eV per atom; size of the total moment = 0.000 Bohr magnetons per cell
1.0
10.206 0.000 0.000
-5.103 8.839 0.000
0.000 0.000 3.394
Ta Ni S
9 2 6
Cartesian
6.514 1.744 1.697
5.439 4.769 1.697
3.357 2.326 1.697
0.336 4.070 1.697
1.411 7.095 1.697
-1.746 6.513 1.697
-2.319 4.016 0.000
2.784 4.823 0.000
4.637 0.000 0.000
5.103 2.946 0.000
0.000 5.893 0.000
-3.595 6.226 0.000
1.508 2.613 0.000
7.190 0.000 0.000
-1.386 2.400 1.697
3.718 6.439 1.697
2.771 0.000 1.697

***

[7]
La5Pr5Y2 PBE-GGA relaxed; calculated formation energy = 20 kJ/mol of formula units; calculated volume = 431.0 Å³/cell; size of the total moment = 0.000 Bohr magnetons per cell
1.0
-0.629 -1.678 4.917
7.468 -1.925 3.084
3.364 8.590 6.147
La Pr Y
5 5 2
Cartesian
5.102 2.494 7.074
2.272 -1.191 2.669
7.415 -0.322 6.409
2.789 5.310 7.739
7.932 6.179 11.478
7.375 1.292 9.740
7.946 4.570 8.146
2.257 0.418 6.002
2.828 3.695 4.408
0.000 0.000 0.000
5.066 4.099 10.402
5.138 0.889 3.746

***

[8]
La6Ga2Bi PBE-GGA relaxed; calculated formation energy = -413 kJ/mol of formula units; calculated volume = 582.8 Å³/cell; size of the total moment = 0.817 Bohr magnetons per cell
1.0
-3.788 4.955 -6.679
3.579 -7.907 -2.859
-6.260 -2.543 6.153
La Ga Bi
12 4 2
Cartesian
-4.501 -5.122 -0.598
-1.967 -0.374 -2.788
-4.410 -3.833 3.565
-2.059 -1.662 -6.950
-3.778 -3.521 -4.056
-2.691 -1.974 0.670
-4.105 -7.489 2.408
-2.363 1.993 -5.794
-5.542 -1.261 -1.662
-0.926 -4.235 -1.724
-1.877 -7.940 -0.556
-4.592 2.445 -2.830
-6.051 -2.800 0.999
-0.417 -2.695 -4.385
-6.330 1.519 -0.332
-3.718 0.892 -0.195
-1.340 -5.225 1.647
0.000 0.000 0.000

***

[9]
GdYZnHg PBE-GGA relaxed; calculated formation energy = -162 kJ/mol of formula units; calculated volume = 99.2 Å³/cell; size of the total moment = 7.777 Bohr magnetons per cell
1.0
-1.567 -2.633 4.196
1.768 -4.810 0.859
3.319 -0.891 3.897
Y Zn Gd Hg
1 1 1 1
Cartesian
2.640 -6.250 6.714
1.760 -4.167 4.476
0.880 -2.083 2.238
0.000 0.000 0.000

***

[10]
La3BF PBE-GGA relaxed; calculated volume = 119.5 Å³/cell; relative energy among the computed polymorphs = 0.00 kcal/mol of atoms; uncorrected formation energy = -0.446 eV per atom; size of the total moment = 0.000 Bohr magnetons per cell
1.0
-4.879 0.445 0.509
0.334 -1.640 4.633
0.588 4.623 1.594
B F La
1 1 3
Cartesian
-1.978 1.714 3.368
0.000 0.000 0.000
0.167 -0.820 2.316
0.294 2.312 0.797
-2.439 0.223 0.255

***

[11]
InBI2 PBE-GGA relaxed; calculated volume = 126.0 Å³/cell; relative energy among the computed polymorphs = 5.06 kcal/mol of atoms; uncorrected formation energy = 0.900 eV per atom; size of the total moment = 0.000 Bohr magnetons per cell
1.0
-0.614 2.407 5.049
-5.053 0.100 2.473
-0.976 -3.185 4.535
I B In
2 1 1
Cartesian
-1.661 -0.169 3.014
-4.982 -0.508 9.043
0.000 0.000 0.000
-3.321 -0.339 6.028

***

[12]
TaFe2Tc PBE-GGA relaxed; calculated formation energy = -30 kJ/mol of formula units; calculated volume = 56.0 Å³/cell; relative energy among the computed polymorphs = 0.01 kcal/mol of atoms; size of the total moment = 4.231 Bohr magnetons per cell
1.0
-0.305 0.170 3.123
-1.744 -3.857 0.040
3.812 -1.719 0.466
Fe Ta Tc
2 1 1
Cartesian
0.000 0.000 0.000
-1.024 -1.844 1.581
1.754 -0.774 1.794
1.034 -2.788 0.253